[1]
The following is a GGA-PBE calculation of a relaxed CaTlAs2 crystal, from Alexandria.

The calculation puts the volume at 26.956 Å³/atom. The value obtained for the density of states at the Fermi level is 0.2515 states/eV/atom. Its energy above the most stable polymorph in this dataset is 122 meV per atom. As for the calculated formation energy: -0.37 eV per atom.

The structure belongs to space group Amm2 (No. 38); the cell edges are 5.132, 5.838 and 7.199 Å and the angles 90.00°, 90.00° and 90.00°. The inequivalent atoms are Ca at (0.000, 0.000, 0.000), Tl at (0.500, 0.000, 0.325), As at (0.000, 0.000, 0.591) and As at (0.500, 0.000, 0.730).

[2]
The following is a GGA-PBE calculation of a relaxed Rb2TaPCl6 crystal, from Alexandria.

The calculation puts the volume at 31.497 Å³/atom. The value obtained for the density of states at the Fermi level is 0.1097 states/eV/atom. The formation energy from raw total energies is -1027 meV per atom.

The structure belongs to space group I4/mmm (No. 139); the cell edges are 8.323, 8.323 and 9.094 Å and the angles 90.00°, 90.00° and 90.00°. The inequivalent atoms are Rb at (0.000, 0.500, 0.250), Ta at (0.000, 0.000, 0.000), P at (0.000, 0.000, 0.500), Cl at (0.000, 0.000, 0.254) and Cl at (0.208, 0.208, 0.000).

[3]
The following is a GGA-PBE calculation of a relaxed Cr2P2Rh crystal, from Alexandria.

The calculation puts the volume at 13.171 Å³/atom. The value obtained for the density of states at the Fermi level is 0.6511 states/eV/atom. Its energy above the most stable polymorph in this dataset is 145 meV per atom. As for the calculated formation energy: -0.19 eV per atom.

The structure belongs to space group I4/mmm (No. 139); the cell edges are 3.833, 3.833 and 8.967 Å and the angles 90.00°, 90.00° and 90.00°. The inequivalent atoms are Cr at (0.000, 0.500, 0.250), P at (0.000, 0.000, 0.117) and Rh at (0.000, 0.000, 0.500).

[4]
The following is a GGA-PBE calculation of a relaxed KSmGa4 crystal, from Alexandria.

The calculation puts the volume at 21.860 Å³/atom. The value obtained for the density of states at the Fermi level is 0.6466 states/eV/atom. As for the calculated formation energy: -0.24 eV per atom.

The structure belongs to space group F-43m (No. 216); the cell edges are 8.065, 8.065 and 8.065 Å and the angles 90.00°, 90.00° and 90.00°. The inequivalent atoms are K at (0.000, 0.000, 0.000), Sm at (0.250, 0.250, 0.250) and Ga at (0.124, 0.124, 0.624).

Question: Which of these has the highest density of states at the Fermi level?
Answer: Cr2P2Rh

Question: Among the records above, which one has the lowest density of states at the Fermi level?
Answer: Rb2TaPCl6

Question: What is the density of states at the Fermi level in the third record?
Answer: 0.6511 states/eV/atom

Question: volume of number 1 (CaTlAs2)?
Answer: 26.956 Å³/atom